A relaxed structure of Pm2MgGa7. Source: Alexandria, functional PBE.

Unit cell a=4.266 b=4.266 c=11.271 alpha=90.00 beta=90.00 gamma=90.00
Sites, in units of the cell vectors:
1 Mg 0.500 0.500 0.000
2 Ga 0.000 0.500 0.856
3 Ga 0.000 0.000 0.000
4 Ga 0.500 0.500 0.500
5 Ga 0.500 0.000 0.363
6 Ga 0.500 0.000 0.144
7 Ga 0.000 0.000 0.500
8 Ga 0.000 0.500 0.637
9 Pm 0.000 0.500 0.256
10 Pm 0.500 0.000 0.744

Summary:
Energy of formation from the pure elements in eV/atom: -0.4293


A relaxed structure of PmMgGa. Source: Alexandria, functional PBE.

Unit cell a=7.715 b=7.715 c=7.131 alpha=108.60 beta=108.60 gamma=114.24
Sites, in units of the cell vectors:
1 Mg 0.376 0.876 0.752
2 Mg 0.126 0.126 0.252
3 Mg 0.124 0.624 0.248
4 Mg 0.874 0.874 0.748
5 Pm 0.625 0.375 0.750
6 Pm 0.625 0.375 0.250
7 Pm 0.625 0.875 0.250
8 Pm 0.125 0.375 0.750
9 Ga 0.430 0.570 0.500
10 Ga 0.070 0.930 0.500
11 Ga 0.820 0.180 0.000
12 Ga 0.180 0.820 0.000

Summary:
Offset from the most stable computed form in eV/atom: 0.295
Energy of formation from the pure elements in eV/atom: -0.2037


A relaxed structure of PmMgGa. Source: Alexandria, functional PBE.

Unit cell a=4.830 b=4.830 c=4.830 alpha=60.00 beta=60.00 gamma=60.00
Sites, in units of the cell vectors:
1 Ga 0.250 0.250 0.250
2 Mg 0.000 0.000 0.000
3 Pm 0.500 0.500 0.500

Summary:
Offset from the most stable computed form in eV/atom: 0.124
Energy of formation from the pure elements in eV/atom: -0.3738


A relaxed structure of PmMg12Ga6. Source: Alexandria, functional PBE.

Unit cell a=7.891 b=7.891 c=7.891 alpha=105.21 beta=105.21 gamma=105.21
Sites, in units of the cell vectors:
1 Pm 0.000 0.000 0.000
2 Ga 0.268 0.746 0.746
3 Ga 0.746 0.746 0.268
4 Ga 0.254 0.254 0.732
5 Ga 0.254 0.732 0.254
6 Ga 0.732 0.254 0.254
7 Ga 0.746 0.268 0.746
8 Mg 0.115 0.885 0.500
9 Mg 0.500 0.885 0.115
10 Mg 0.833 0.577 0.577
11 Mg 0.500 0.115 0.885
12 Mg 0.885 0.115 0.500
13 Mg 0.885 0.500 0.115
14 Mg 0.577 0.833 0.577
15 Mg 0.115 0.500 0.885
16 Mg 0.423 0.167 0.423
17 Mg 0.167 0.423 0.423
18 Mg 0.577 0.577 0.833
19 Mg 0.423 0.423 0.167

Summary:
Energy of formation from the pure elements in eV/atom: -0.0417